A plane-wave DFT calculation with PBE was carried out for a relaxed CdGaSi3 crystal.

Output
Space-group type: Pm-3m
Uncorrected energy in eV per cell: -15.659
Offset from the most stable computed form in eV/atom: 0.0000
D(E_F) in states/eV/atom: 0.488
Formation energy (no corrections) in kcal/mol of atoms: 21.00

a = 4.8145 Å, b = 4.8145 Å, c = 4.8145 Å
α = 90.00°, β = 90.00°, γ = 90.00°
Fractional positions:
Cd: 0.0000 0.0000 0.0000
Ga: 0.5000 0.5000 0.5000
Si: 0.0000 0.5000 0.5000
Si: 0.5000 0.0000 0.5000
Si: 0.5000 0.5000 0.0000